Entry 1:
An optimized crystal structure of InSeF2, computed with PBE-GGA. Values from VASP.

Output
E_form (uncorrected) = -1106 meV per atom
Energy above the lowest structure with this stoichiometry = 0.0000 eV/atom
Magnetization = 0.13 μB/atom

```
&SYSTEM
  ibrav = 0, nat = 8, ntyp = 3
/
ATOMIC_SPECIES
F 19.00 F.upf
Se 78.96 Se.upf
In 114.82 In.upf
ATOMIC_POSITIONS angstrom
F 3.198 1.014 2.001
F 0.859 3.043 2.001
F 3.043 2.888 6.002
F 5.072 5.227 6.002
Se 2.029 2.029 0.000
Se 2.029 4.057 4.001
In 0.000 0.000 0.000
In 4.057 2.029 4.001
CELL_PARAMETERS angstrom
4.057 0.000 0.000
0.000 4.057 0.000
2.029 2.029 8.002
```


Entry 2:
An optimized crystal structure of InSeF2, computed with PBE-GGA. Values from VASP.

Output
E_form (uncorrected) = -1083 meV per atom
Energy above the lowest structure with this stoichiometry = 0.0236 eV/atom
Magnetization = 0.00 μB/atom

```
&SYSTEM
  ibrav = 0, nat = 4, ntyp = 3
/
ATOMIC_SPECIES
F 19.00 F.upf
Se 78.96 Se.upf
In 114.82 In.upf
ATOMIC_POSITIONS angstrom
F 0.000 0.000 22.622
F 0.000 0.000 1.985
Se 0.000 0.000 0.000
In 0.000 0.000 12.303
CELL_PARAMETERS angstrom
1.849 0.000 8.202
-0.925 1.601 8.202
-0.925 -1.601 8.202
```


Entry 3:
An optimized crystal structure of InSe3F, computed with PBE-GGA. Values from VASP.

Output
E_form (uncorrected) = 447 meV per atom
Energy above the lowest structure with this stoichiometry = 0.2740 eV/atom
Magnetization = 0.04 μB/atom

```
&SYSTEM
  ibrav = 0, nat = 5, ntyp = 3
/
ATOMIC_SPECIES
F 19.00 F.upf
Se 78.96 Se.upf
In 114.82 In.upf
ATOMIC_POSITIONS angstrom
F 2.642 2.642 2.642
Se 0.000 2.642 0.000
Se 0.000 0.000 2.642
Se 2.642 0.000 0.000
In 0.000 0.000 0.000
CELL_PARAMETERS angstrom
5.284 0.000 0.000
0.000 5.284 0.000
0.000 0.000 5.284
```


Entry 4:
An optimized crystal structure of InSeF3, computed with PBE-GGA. Values from VASP.

Output
E_form (uncorrected) = -1418 meV per atom
Energy above the lowest structure with this stoichiometry = 0.0000 eV/atom
Magnetization = 0.41 μB/atom

```
&SYSTEM
  ibrav = 0, nat = 5, ntyp = 3
/
ATOMIC_SPECIES
F 19.00 F.upf
Se 78.96 Se.upf
In 114.82 In.upf
ATOMIC_POSITIONS angstrom
F 0.000 2.175 0.000
F 0.000 0.000 2.175
F 2.175 0.000 0.000
Se 2.175 2.175 2.175
In 0.000 0.000 0.000
CELL_PARAMETERS angstrom
4.350 0.000 0.000
0.000 4.350 0.000
0.000 0.000 4.350
```


Entry 5:
An optimized crystal structure of InSeF2, computed with PBE-GGA. Values from VASP.

Output
E_form (uncorrected) = -756 meV per atom
Energy above the lowest structure with this stoichiometry = 0.3502 eV/atom
Magnetization = 0.37 μB/atom

```
&SYSTEM
  ibrav = 0, nat = 4, ntyp = 3
/
ATOMIC_SPECIES
F 19.00 F.upf
Se 78.96 Se.upf
In 114.82 In.upf
ATOMIC_POSITIONS angstrom
F 1.486 0.121 2.310
F 4.457 0.364 6.929
Se 0.000 0.000 0.000
In 2.971 0.243 4.619
CELL_PARAMETERS angstrom
3.659 1.758 1.916
-0.064 1.130 4.344
2.347 -2.402 2.979
```


Entry 6:
An optimized crystal structure of InSe3F, computed with PBE-GGA. Values from VASP.

Output
E_form (uncorrected) = 173 meV per atom
Energy above the lowest structure with this stoichiometry = 0.0000 eV/atom
Magnetization = 0.00 μB/atom

```
&SYSTEM
  ibrav = 0, nat = 5, ntyp = 3
/
ATOMIC_SPECIES
F 19.00 F.upf
Se 78.96 Se.upf
In 114.82 In.upf
ATOMIC_POSITIONS angstrom
F 0.000 0.000 0.000
Se -1.732 -1.064 1.238
Se 0.864 0.934 2.012
Se -1.385 1.914 -0.293
In -2.253 1.783 2.957
CELL_PARAMETERS angstrom
-2.771 3.827 -0.587
-3.464 -2.129 2.477
1.729 1.868 4.024
```


Entry 7:
An optimized crystal structure of InSeF3, computed with PBE-GGA. Values from VASP.

Output
E_form (uncorrected) = -1090 meV per atom
Energy above the lowest structure with this stoichiometry = 0.3288 eV/atom
Magnetization = 0.00 μB/atom

```
&SYSTEM
  ibrav = 0, nat = 5, ntyp = 3
/
ATOMIC_SPECIES
F 19.00 F.upf
Se 78.96 Se.upf
In 114.82 In.upf
ATOMIC_POSITIONS angstrom
F 0.000 2.259 0.000
F 0.000 0.000 2.259
F 2.259 0.000 0.000
Se 0.000 0.000 0.000
In 2.259 2.259 2.259
CELL_PARAMETERS angstrom
4.518 0.000 0.000
0.000 4.518 0.000
0.000 0.000 4.518
```


Entry 8:
An optimized crystal structure of InSe2F, computed with PBE-GGA. Values from VASP.

Output
E_form (uncorrected) = -58 meV per atom
Energy above the lowest structure with this stoichiometry = 0.2718 eV/atom
Magnetization = 0.00 μB/atom

```
&SYSTEM
  ibrav = 0, nat = 4, ntyp = 3
/
ATOMIC_SPECIES
F 19.00 F.upf
Se 78.96 Se.upf
In 114.82 In.upf
ATOMIC_POSITIONS angstrom
F 0.000 0.000 0.000
Se -3.021 9.320 6.275
Se -4.483 13.830 9.312
In -3.752 11.575 7.794
CELL_PARAMETERS angstrom
-4.131 7.110 5.313
-1.322 7.285 6.404
-2.051 8.755 3.871
```


Entry 9:
An optimized crystal structure of InSeF2, computed with PBE-GGA. Values from VASP.

Output
E_form (uncorrected) = -786 meV per atom
Energy above the lowest structure with this stoichiometry = 0.3201 eV/atom
Magnetization = 0.19 μB/atom

```
&SYSTEM
  ibrav = 0, nat = 4, ntyp = 3
/
ATOMIC_SPECIES
F 19.00 F.upf
Se 78.96 Se.upf
In 114.82 In.upf
ATOMIC_POSITIONS angstrom
F -18.897 -6.744 11.648
F -1.742 -0.622 1.074
Se -10.320 -3.683 6.361
In 0.000 0.000 0.000
CELL_PARAMETERS angstrom
-7.545 -3.130 2.771
-5.884 -3.444 5.284
-7.211 -0.792 4.667
```


Entry 10:
An optimized crystal structure of InSe2F, computed with PBE-GGA. Values from VASP.

Output
E_form (uncorrected) = -281 meV per atom
Energy above the lowest structure with this stoichiometry = 0.0487 eV/atom
Magnetization = 0.43 μB/atom

```
&SYSTEM
  ibrav = 0, nat = 8, ntyp = 3
/
ATOMIC_SPECIES
F 19.00 F.upf
Se 78.96 Se.upf
In 114.82 In.upf
ATOMIC_POSITIONS angstrom
F 3.041 3.041 0.000
F 3.041 6.082 2.967
Se 4.484 1.521 1.483
Se 1.598 4.562 1.483
Se 4.562 4.639 4.450
Se 7.603 7.526 4.450
In 0.000 0.000 0.000
In 6.082 3.041 2.967
CELL_PARAMETERS angstrom
6.082 0.000 0.000
0.000 6.082 0.000
3.041 3.041 5.933
```


Entry 11:
An optimized crystal structure of In3SeF7, computed with PBE-GGA. Values from VASP.

Output
E_form (uncorrected) = -2140 meV per atom
Magnetization = 0.00 μB/atom

```
&SYSTEM
  ibrav = 0, nat = 11, ntyp = 3
/
ATOMIC_SPECIES
In 114.82 In.upf
Se 78.96 Se.upf
F 19.00 F.upf
ATOMIC_POSITIONS angstrom
In 4.435 1.691 3.036
In 4.435 0.000 5.965
In 4.435 -1.691 3.036
Se 2.689 0.000 4.012
F 5.578 -1.486 4.870
F 5.578 0.000 2.297
F 5.528 3.475 2.006
F 3.577 5.023 1.112
F 3.577 1.926 1.112
F 3.577 3.475 3.794
F 5.578 1.486 4.870
CELL_PARAMETERS angstrom
5.686 0.000 0.000
0.000 6.950 0.000
0.000 -3.475 6.019
```


Entry 12:
An optimized crystal structure of InSe2F, computed with PBE-GGA. Values from VASP.

Output
E_form (uncorrected) = -330 meV per atom
Energy above the lowest structure with this stoichiometry = 0.0000 eV/atom
Magnetization = 0.00 μB/atom

```
&SYSTEM
  ibrav = 0, nat = 4, ntyp = 3
/
ATOMIC_SPECIES
F 19.00 F.upf
Se 78.96 Se.upf
In 114.82 In.upf
ATOMIC_POSITIONS angstrom
F 0.000 0.000 0.000
Se 0.576 -0.264 2.815
Se 1.728 -0.792 8.445
In 1.152 -0.528 5.630
CELL_PARAMETERS angstrom
1.846 2.146 3.767
-1.882 -0.692 4.264
2.340 -2.509 3.229
```